Entry 1:
A PBEsol-optimized structure of CaBe. Source: Alexandria, functional meta-GGA SCAN.

Geometry as POSCAR:
```
CaBe
1.0
3.807 0.000 0.000
-1.903 3.297 0.000
0.000 0.000 3.931
Be Ca
1 1
Direct
0.000 0.000 0.000
0.333 0.667 0.500
```

Output
DOS at the Fermi energy	1.3	states/eV/f.u.
ΔE_f	0.706	eV per atom
total magnetic moment	0.00	μB/atom
calculated density	1.7	g/cm3

Entry 2:
A PBEsol-optimized structure of Ca3Be. Source: Alexandria, functional meta-GGA SCAN.

Geometry as POSCAR:
```
Ca3Be
1.0
-1.843 -3.089 -0.448
2.962 -1.895 0.880
-2.500 0.205 8.862
Be Ca
1 3
Direct
0.000 0.000 0.000
0.500 0.500 0.820
0.000 0.000 0.500
0.500 0.500 0.180
```

Output
DOS at the Fermi energy	3.6	states/eV/f.u.
ΔE_f	0.223	eV per atom
total magnetic moment	0.00	μB/atom
calculated density	1.8	g/cm3

Entry 3:
A PBEsol-optimized structure of Ca3Be2. Source: Alexandria, functional meta-GGA SCAN.

Geometry as POSCAR:
```
Ca3Be2
1.0
4.852 0.000 0.000
-2.426 4.202 0.000
0.000 0.000 6.276
Be Ca
2 3
Direct
0.333 0.667 0.885
0.667 0.333 0.115
0.000 0.000 0.000
0.333 0.667 0.334
0.667 0.333 0.666
```

Output
DOS at the Fermi energy	3.1	states/eV/f.u.
ΔE_f	0.351	eV per atom
total magnetic moment	0.00	μB/atom
calculated density	1.8	g/cm3

Entry 4:
A PBEsol-optimized structure of Ca2BeCd. Source: Alexandria, functional meta-GGA SCAN.

Geometry as POSCAR:
```
Ca2BeCd
1.0
4.171 0.000 0.000
0.000 4.433 0.000
-2.085 0.000 5.573
Be Ca Cd
1 2 1
Direct
0.569 0.500 0.138
0.978 0.000 0.956
0.273 0.500 0.546
0.682 0.000 0.364
```

Output
DOS at the Fermi energy	3.2	states/eV/f.u.
ΔE_f	-0.022	eV per atom
total magnetic moment	0.00	μB/atom
calculated density	3.2	g/cm3

- Which of these has the highest calculated density?
  Ca2BeCd